No. 1
The following is a GGA-PBE calculation of crystalline CsKTl3 at its relaxed geometry, from the Alexandria database.

Cell: 8.644 8.644 8.416 Å, 113.54 113.54 51.19°
Element x y z (fractional)
Cs 0.146 0.146 0.272
Cs 0.854 0.854 0.728
K 0.334 0.334 0.943
K 0.666 0.666 0.057
Tl 0.114 0.683 0.320
Tl 0.317 0.886 0.680
Tl 0.433 0.433 0.626
Tl 0.567 0.567 0.374
Tl 0.683 0.114 0.320
Tl 0.886 0.317 0.680

Excess energy over the best structure of this formula in the dataset ... 0.000 eV/atom
DFT formation energy ... -0.09 eV/atom
DOS(E_F) ... 6.50 states/eV per cell
Total energy ... -18.971 eV for the cell shown
V ... 219.7 Å³/f.u.



No. 2
The following is a GGA-PBE calculation of crystalline MgInTeI2 at its relaxed geometry, from the Alexandria database.

Cell: 5.778 5.778 5.596 Å, 90.00 90.00 90.00°
Element x y z (fractional)
Mg 0.000 0.000 0.000
In 0.500 0.500 0.500
Te 0.000 0.000 0.500
I 0.000 0.500 0.000
I 0.500 0.000 0.000

Excess energy over the best structure of this formula in the dataset ... 0.000 eV/atom
DOS(E_F) ... 3.31 states/eV per cell
Total energy ... -12.460 eV for the cell shown
V ... 186.8 Å³/f.u.
Formation energy without anion corrections ... -377.1 meV per atom



No. 3
The following is a GGA-PBE calculation of crystalline CaLaIr2 at its relaxed geometry, from the Alexandria database.

Cell: 7.016 7.016 7.016 Å, 90.00 90.00 90.00°
Element x y z (fractional)
Ca 0.000 0.000 0.000
Ca 0.000 0.500 0.500
Ca 0.500 0.000 0.500
Ca 0.500 0.500 0.000
La 0.000 0.000 0.500
La 0.000 0.500 0.000
La 0.500 0.000 0.000
La 0.500 0.500 0.500
Ir 0.250 0.250 0.250
Ir 0.250 0.250 0.750
Ir 0.250 0.750 0.250
Ir 0.250 0.750 0.750
Ir 0.750 0.250 0.250
Ir 0.750 0.250 0.750
Ir 0.750 0.750 0.250
Ir 0.750 0.750 0.750

Excess energy over the best structure of this formula in the dataset ... 0.014 eV/atom
DFT formation energy ... -0.37 eV/atom
DOS(E_F) ... 10.18 states/eV per cell
Total energy ... -104.447 eV for the cell shown
V ... 86.3 Å³/f.u.



No. 4
The following is a GGA-PBE calculation of crystalline TaFeCu at its relaxed geometry, from the Alexandria database.

Cell: 4.292 4.292 2.607 Å, 90.00 90.00 120.00°
Element x y z (fractional)
Ta 0.000 0.000 0.000
Fe 0.333 0.667 0.595
Cu 0.667 0.333 0.471

Excess energy over the best structure of this formula in the dataset ... 0.095 eV/atom
DFT formation energy ... 0.13 eV/atom
DOS(E_F) ... 2.61 states/eV per cell
Total energy ... -24.029 eV for the cell shown
V ... 41.6 Å³/f.u.



No. 5
The following is a GGA-PBE calculation of crystalline CaMo2Ru at its relaxed geometry, from the Alexandria database.

Cell: 2.800 4.588 5.430 Å, 90.00 90.00 90.00°
Element x y z (fractional)
Ca 0.000 0.000 0.000
Mo 0.500 0.500 0.271
Mo 0.500 0.500 0.729
Ru 0.000 0.000 0.500

Excess energy over the best structure of this formula in the dataset ... 0.256 eV/atom
DFT formation energy ... 0.67 eV/atom
DOS(E_F) ... 3.46 states/eV per cell
Total energy ... -30.273 eV for the cell shown
V ... 69.8 Å³/f.u.



No. 6
The following is a GGA-PBE calculation of crystalline DyFe3B3 at its relaxed geometry, from the Alexandria database.

Cell: 7.677 7.677 3.042 Å, 90.00 90.00 120.00°
Element x y z (fractional)
Dy 0.333 0.667 0.250
Dy 0.667 0.333 0.750
Fe 0.070 0.307 0.750
Fe 0.237 0.930 0.750
Fe 0.307 0.237 0.250
Fe 0.693 0.763 0.750
Fe 0.763 0.070 0.250
Fe 0.930 0.693 0.250
B 0.035 0.581 0.750
B 0.419 0.454 0.750
B 0.454 0.035 0.250
B 0.546 0.965 0.750
B 0.581 0.546 0.250
B 0.965 0.419 0.250

Excess energy over the best structure of this formula in the dataset ... 0.000 eV/atom
DFT formation energy ... -0.12 eV/atom
DOS(E_F) ... 5.99 states/eV per cell
Total energy ... -101.674 eV for the cell shown
V ... 77.6 Å³/f.u.



No. 7
The following is a GGA-PBE calculation of crystalline HfP2Se at its relaxed geometry, from the Alexandria database.

Cell: 5.703 5.703 12.413 Å, 90.00 90.00 90.00°
Element x y z (fractional)
Hf 0.000 0.000 0.000
Hf 0.000 0.500 0.250
Hf 0.500 0.000 0.750
Hf 0.500 0.500 0.500
P 0.242 0.250 0.125
P 0.250 0.742 0.375
P 0.250 0.758 0.875
P 0.258 0.250 0.625
P 0.742 0.750 0.625
P 0.750 0.242 0.875
P 0.750 0.258 0.375
P 0.758 0.750 0.125
Se 0.000 0.000 0.500
Se 0.000 0.500 0.750
Se 0.500 0.000 0.250
Se 0.500 0.500 0.000

DOS(E_F) ... 14.58 states/eV per cell
Total energy ... -94.794 eV for the cell shown
V ... 100.9 Å³/f.u.
Formation energy without anion corrections ... 139.8 meV per atom



No. 8
The following is a GGA-PBE calculation of crystalline Tl13Cd3 at its relaxed geometry, from the Alexandria database.

Cell: 7.663 7.863 7.863 Å, 87.88 90.00 90.00°
Element x y z (fractional)
Tl 0.000 0.000 0.000
Tl 0.000 0.459 0.955
Tl 0.000 0.495 0.495
Tl 0.000 0.955 0.459
Tl 0.255 0.200 0.711
Tl 0.255 0.711 0.200
Tl 0.271 0.746 0.746
Tl 0.500 0.430 0.985
Tl 0.500 0.480 0.480
Tl 0.500 0.985 0.430
Tl 0.729 0.746 0.746
Tl 0.745 0.200 0.711
Tl 0.745 0.711 0.200
Cd 0.226 0.247 0.247
Cd 0.500 0.011 0.011
Cd 0.774 0.247 0.247

DFT formation energy ... 0.02 eV/atom
DOS(E_F) ... 5.67 states/eV per cell
Total energy ... -33.134 eV for the cell shown
V ... 473.4 Å³/f.u.



No. 9
The following is a GGA-PBE calculation of crystalline TaTi2Ni at its relaxed geometry, from the Alexandria database.

Cell: 4.371 4.371 3.255 Å, 90.00 90.00 90.00°
Element x y z (fractional)
Ta 0.000 0.000 0.000
Ti 0.000 0.500 0.500
Ti 0.500 0.000 0.500
Ni 0.500 0.500 0.000

Excess energy over the best structure of this formula in the dataset ... 0.100 eV/atom
DFT formation energy ... -0.08 eV/atom
DOS(E_F) ... 5.42 states/eV per cell
Total energy ... -33.735 eV for the cell shown
V ... 62.2 Å³/f.u.



No. 10
The following is a GGA-PBE calculation of crystalline GdSc3Rh at its relaxed geometry, from the Alexandria database.

Cell: 5.073 5.073 5.073 Å, 90.00 90.00 90.00°
Element x y z (fractional)
Gd 0.000 0.000 0.000
Sc 0.000 0.500 0.500
Sc 0.500 0.000 0.500
Sc 0.500 0.500 0.000
Rh 0.500 0.500 0.500

DFT formation energy ... -0.27 eV/atom
DOS(E_F) ... 7.06 states/eV per cell
Total energy ... -41.783 eV for the cell shown
V ... 130.6 Å³/f.u.



No. 11
The following is a GGA-PBE calculation of crystalline K2ZnPdF6 at its relaxed geometry, from the Alexandria database.

Cell: 10.851 10.851 10.851 Å, 32.07 32.07 32.07°
Element x y z (fractional)
K 0.131 0.131 0.131
K 0.287 0.287 0.287
K 0.713 0.713 0.713
K 0.869 0.869 0.869
Zn 0.000 0.000 0.000
Zn 0.500 0.500 0.500
Pd 0.410 0.410 0.410
Pd 0.590 0.590 0.590
F 0.141 0.618 0.618
F 0.198 0.198 0.718
F 0.198 0.718 0.198
F 0.282 0.802 0.802
F 0.382 0.382 0.859
F 0.382 0.859 0.382
F 0.618 0.141 0.618
F 0.618 0.618 0.141
F 0.718 0.198 0.198
F 0.802 0.282 0.802
F 0.802 0.802 0.282
F 0.859 0.382 0.382

Total energy ... -82.805 eV for the cell shown
V ... 160.0 Å³/f.u.
Formation energy without anion corrections ... -2151.3 meV per atom



No. 12
The following is a GGA-PBE calculation of crystalline TaVRh2 at its relaxed geometry, from the Alexandria database.

Cell: 16.286 2.798 5.424 Å, 90.00 93.31 90.00°
Element x y z (fractional)
Ta 0.071 0.000 0.342
Ta 0.429 0.500 0.658
Ta 0.571 0.500 0.342
Ta 0.929 0.000 0.658
V 0.198 0.500 0.106
V 0.302 0.000 0.894
V 0.698 0.000 0.106
V 0.802 0.500 0.894
Rh 0.077 0.000 0.858
Rh 0.192 0.500 0.613
Rh 0.308 0.000 0.387
Rh 0.423 0.500 0.142
Rh 0.577 0.500 0.858
Rh 0.692 0.000 0.613
Rh 0.808 0.500 0.387
Rh 0.923 0.000 0.142

Excess energy over the best structure of this formula in the dataset ... 0.326 eV/atom
DFT formation energy ... -0.11 eV/atom
DOS(E_F) ... 17.60 states/eV per cell
Total energy ... -144.439 eV for the cell shown
V ... 61.7 Å³/f.u.



No. 13
The following is a GGA-PBE calculation of crystalline MnCr2Ge2 at its relaxed geometry, from the Alexandria database.

Cell: 6.620 6.620 3.147 Å, 90.00 90.00 90.00°
Element x y z (fractional)
Mn 0.000 0.000 0.000
Mn 0.500 0.500 0.000
Cr 0.157 0.343 0.500
Cr 0.343 0.843 0.500
Cr 0.657 0.157 0.500
Cr 0.843 0.657 0.500
Ge 0.142 0.642 0.000
Ge 0.358 0.142 0.000
Ge 0.642 0.858 0.000
Ge 0.858 0.358 0.000

DFT formation energy ... 0.14 eV/atom
DOS(E_F) ... 7.94 states/eV per cell
Total energy ... -73.884 eV for the cell shown
V ... 69.0 Å³/f.u.



No. 14
The following is a GGA-PBE calculation of crystalline VGeRh2Cl at its relaxed geometry, from the Alexandria database.

Cell: 4.536 4.536 4.934 Å, 90.00 90.00 90.00°
Element x y z (fractional)
V 0.000 0.000 0.000
Ge 0.500 0.500 0.500
Rh 0.000 0.500 0.500
Rh 0.500 0.000 0.500
Cl 0.500 0.500 0.000

DOS(E_F) ... 8.75 states/eV per cell
Total energy ... -25.433 eV for the cell shown
V ... 101.5 Å³/f.u.
Formation energy without anion corrections ... 970.5 meV per atom



No. 15
The following is a GGA-PBE calculation of crystalline Be3SbW at its relaxed geometry, from the Alexandria database.

Cell: 4.479 4.479 4.479 Å, 90.00 90.00 90.00°
Element x y z (fractional)
Be 0.000 0.000 0.500
Be 0.000 0.500 0.000
Be 0.500 0.000 0.000
Sb 0.000 0.000 0.000
W 0.500 0.500 0.500

Excess energy over the best structure of this formula in the dataset ... 0.710 eV/atom
DOS(E_F) ... 2.20 states/eV per cell
Total energy ... -18.430 eV for the cell shown
V ... 89.9 Å³/f.u.
Formation energy without anion corrections ... 1964.7 meV per atom



No. 16
The following is a GGA-PBE calculation of crystalline Sr12SnAu6 at its relaxed geometry, from the Alexandria database.

Cell: 9.623 9.623 9.623 Å, 109.47 109.47 109.47°
Element x y z (fractional)
Sr 0.120 0.299 0.821
Sr 0.179 0.478 0.299
Sr 0.179 0.880 0.701
Sr 0.299 0.179 0.478
Sr 0.299 0.821 0.120
Sr 0.478 0.299 0.179
Sr 0.522 0.701 0.821
Sr 0.701 0.179 0.880
Sr 0.701 0.821 0.522
Sr 0.821 0.120 0.299
Sr 0.821 0.522 0.701
Sr 0.880 0.701 0.179
Sn 0.000 0.000 0.000
Au 0.128 0.500 0.628
Au 0.372 0.872 0.500
Au 0.500 0.372 0.872
Au 0.500 0.628 0.128
Au 0.628 0.128 0.500
Au 0.872 0.500 0.372

DFT formation energy ... -0.57 eV/atom
DOS(E_F) ... 13.05 states/eV per cell
Total energy ... -54.714 eV for the cell shown
V ... 686.0 Å³/f.u.



No. 17
The following is a GGA-PBE calculation of crystalline CoAg2Te at its relaxed geometry, from the Alexandria database.

Cell: 3.198 3.198 7.276 Å, 90.00 90.00 90.00°
Element x y z (fractional)
Co 0.000 0.000 0.000
Ag 0.000 0.000 0.518
Ag 0.500 0.500 0.758
Te 0.500 0.500 0.166

DOS(E_F) ... 2.88 states/eV per cell
Total energy ... -15.061 eV for the cell shown
V ... 74.4 Å³/f.u.
Formation energy without anion corrections ... 222.3 meV per atom



No. 18
The following is a GGA-PBE calculation of crystalline LaErCdRh at its relaxed geometry, from the Alexandria database.

Cell: 7.314 7.314 7.314 Å, 90.00 90.00 90.00°
Element x y z (fractional)
La 0.000 0.000 0.000
La 0.000 0.500 0.500
La 0.500 0.000 0.500
La 0.500 0.500 0.000
Er 0.000 0.000 0.500
Er 0.000 0.500 0.000
Er 0.500 0.000 0.000
Er 0.500 0.500 0.500
Cd 0.250 0.250 0.250
Cd 0.250 0.750 0.750
Cd 0.750 0.250 0.750
Cd 0.750 0.750 0.250
Rh 0.250 0.250 0.750
Rh 0.250 0.750 0.250
Rh 0.750 0.250 0.250
Rh 0.750 0.750 0.750

DFT formation energy ... -0.47 eV/atom
DOS(E_F) ... 9.04 states/eV per cell
Total energy ... -78.517 eV for the cell shown
V ... 97.8 Å³/f.u.



No. 19
The following is a GGA-PBE calculation of crystalline Na2LaHfTe4 at its relaxed geometry, from the Alexandria database.

Cell: 7.623 4.327 8.045 Å, 90.00 107.88 90.00°
Element x y z (fractional)
Na 0.000 0.000 0.000
Na 0.500 0.500 0.000
La 0.000 0.500 0.500
Hf 0.500 0.000 0.500
Te 0.271 0.000 0.738
Te 0.281 0.500 0.276
Te 0.719 0.500 0.724
Te 0.729 0.000 0.262

DOS(E_F) ... 3.42 states/eV per cell
Total energy ... -38.642 eV for the cell shown
V ... 252.6 Å³/f.u.
Formation energy without anion corrections ... -1069.5 meV per atom



No. 20
The following is a GGA-PBE calculation of crystalline BiP2Rh2 at its relaxed geometry, from the Alexandria database.

Cell: 3.858 3.858 12.152 Å, 90.00 90.00 90.00°
Element x y z (fractional)
Bi 0.000 0.000 0.000
Bi 0.500 0.500 0.500
P 0.000 0.500 0.250
P 0.000 0.500 0.750
P 0.500 0.000 0.250
P 0.500 0.000 0.750
Rh 0.000 0.000 0.362
Rh 0.000 0.000 0.638
Rh 0.500 0.500 0.138
Rh 0.500 0.500 0.862

DFT formation energy ... -0.22 eV/atom
DOS(E_F) ... 5.52 states/eV per cell
Total energy ... -60.983 eV for the cell shown
V ... 90.5 Å³/f.u.